# RbLi2NbGe

A relaxed structure of RbLi2NbGe (PBE-GGA, Alexandria via LeMat-Bulk).

a = 5.613 Å, b = 5.065 Å, c = 5.613 Å
α = 90.00°, β = 90.00°, γ = 90.00°
Each line ends with the local moment (μB).
Atoms (fractional coordinates):
Ge 0.000 0.500 0.000  -0.04
Li 0.000 0.000 0.500  0.04
Nb 0.000 0.000 0.000  1.75
Rb 0.500 0.500 0.500  0.00
Li 0.500 0.000 0.000  0.08

Space-group type ... No. 123

---

# Nd6SmSn

A relaxed structure of Nd6SmSn (PBE-GGA, Alexandria via LeMat-Bulk).

a = 5.014 Å, b = 5.014 Å, c = 10.411 Å
α = 90.00°, β = 90.00°, γ = 90.00°
Atoms (fractional coordinates):
Nd 0.500 0.000 0.760
Nd 0.500 0.000 0.240
Nd 0.500 0.500 0.000
Sm 0.000 0.000 0.500
Sn 0.000 0.000 0.000
Nd 0.000 0.500 0.760
Nd 0.500 0.500 0.500
Nd 0.000 0.500 0.240

Space-group type ... No. 123

---

# CsKTl2

A relaxed structure of CsKTl2 (PBE-GGA, Alexandria via LeMat-Bulk).

a = 6.306 Å, b = 6.306 Å, c = 6.306 Å
α = 60.00°, β = 60.00°, γ = 60.00°
Atoms (fractional coordinates):
K 0.000 0.000 0.000
Tl 0.250 0.250 0.250
Cs 0.500 0.500 0.500
Tl 0.750 0.750 0.750

E above lowest polymorph ... 0.133 eV/atom
Space-group type ... No. 225

---

# La2Er2Tl3

A relaxed structure of La2Er2Tl3 (PBE-GGA, Alexandria via LeMat-Bulk).

a = 5.369 Å, b = 8.461 Å, c = 5.533 Å
α = 70.98°, β = 89.96°, γ = 108.52°
Atoms (fractional coordinates):
La 0.125 0.252 0.374
Tl 0.000 0.000 0.000
Tl 0.749 0.497 0.251
La 0.875 0.748 0.626
Tl 0.251 0.503 0.749
Er 0.382 0.764 0.119
Er 0.618 0.236 0.881

E above lowest polymorph ... 0.007 eV/atom
Space-group type ... No. 71

---

# TaAs2P

A relaxed structure of TaAs2P (PBE-GGA, Alexandria via LeMat-Bulk).

a = 3.157 Å, b = 3.157 Å, c = 7.561 Å
α = 90.00°, β = 90.00°, γ = 90.00°
Atoms (fractional coordinates):
As 0.500 0.500 0.327
P 0.000 0.000 0.536
Ta 0.500 0.500 0.701
As 0.000 0.000 0.937

Space-group type ... No. 99

---

ΔE_f values (in kJ/mol of atoms) by entry order: 59 -19 6 -23 -13.
Calculated volume values (in Å³/f.u.) by entry order: 159.6 261.7 177.3 223.8 75.4.